Record 1
First-principles (GGA-PBE) data for a geometry-optimized Sm4DyEr7 structure, as listed in Alexandria.

Properties
SG: P-1, No. 2
Total DFT energy (no corrections) (eV/atom): -4.530
Polymorph energy (0 for the lowest one) (eV/f.u.): 0.00
Energy relative to the elements (eV/atom): 0.09

Lattice parameters (Å, degrees): 6.5132 6.7876 9.0195 85.00 76.99 81.56
Sites, in units of the cell vectors:
Sm  0.1389  0.3094  0.2850
Sm  0.3363  0.8834  0.6926
Sm  0.6637  0.1166  0.3074
Sm  0.8611  0.6906  0.7150
Dy  0.5000  0.5000  0.0000
Er  0.0127  0.2520  0.9500
Er  0.1820  0.8003  0.3579
Er  0.3121  0.3935  0.6155
Er  0.5000  0.0000  0.0000
Er  0.6879  0.6065  0.3845
Er  0.8180  0.1997  0.6421
Er  0.9873  0.7480  0.0500

=====

Record 2
First-principles (GGA-PBE) data for a geometry-optimized SmDy2Er structure, as listed in Alexandria.

Properties
SG: R-3m, No. 166
Total DFT energy (no corrections) (eV/atom): -4.602
Polymorph energy (0 for the lowest one) (eV/f.u.): 0.03
Energy relative to the elements (eV/atom): 0.02

Lattice parameters (Å, degrees): 11.7633 11.7633 11.7633 17.38 17.38 17.38
Sites, in units of the cell vectors:
Sm  0.0000  0.0000  0.0000
Dy  0.2489  0.2489  0.2489
Dy  0.7511  0.7511  0.7511
Er  0.5000  0.5000  0.5000